The following is a DFT calculation (GGA+U) of a relaxed structure of NiSb2F.

The space group is I-42d (No. 122) and the conventional cell measures 5.174, 5.174 and 13.149 Å, with angles of 90.00, 90.00 and 90.00 degrees. Symmetry generates all atoms from Ni at (0.000, 0.000, 0.000), Sb at (0.230, 0.250, 0.125) and F at (0.000, 0.000, 0.500).

The energy above the lowest structure with this stoichiometry comes out at 206 meV per atom. As for the density: 6.1 Mg/m³.